[1]
## Sr2TaFe (PBE)

Data for an optimized crystal structure of Sr2TaFe.

The structure in POSCAR format:
```
Sr2TaFe
1.0
-0.0981 -6.4277 -0.0800
5.6648 -3.0189 -0.3566
-3.9210 3.9122 3.2637
Sr Fe Ta
2 1 1
Direct
0.7388 0.2388 0.5000 Sr
0.0413 0.0413 0.0000 Sr
0.2920 0.7920 0.5000 Fe
0.4280 0.4280 0.0000 Ta
```

Computed properties:
energy relative to the elements = 2.5 eV/f.u.
E_tot = -5.294 eV per atom
magnetic moment = 0.09 Bohr magnetons per cell
E above lowest polymorph = 180 meV per atom


[2]
## Sr2TaFe (PBE)

Data for an optimized crystal structure of Sr2TaFe.

The structure in POSCAR format:
```
Sr2TaFe
1.0
3.2208 0.0042 0.0000
-0.0059 3.2208 0.0000
0.0000 0.0000 9.9529
Ta Fe Sr
1 1 2
Direct
0.5000 0.5000 0.2500 Ta
0.5000 0.5000 0.7500 Fe
0.0000 0.0000 0.5165 Sr
0.0000 0.0000 0.9835 Sr
```

Computed properties:
energy relative to the elements = 4.3 eV/f.u.
E_tot = -4.851 eV per atom
magnetic moment = 3.13 Bohr magnetons per cell
E above lowest polymorph = 623 meV per atom


[3]
## SrTa2Fe (PBE)

Data for an optimized crystal structure of SrTa2Fe.

The structure in POSCAR format:
```
SrTa2Fe
1.0
3.1174 0.0000 0.0000
0.0000 3.1173 0.0000
0.0000 0.0000 8.4992
Ta Sr Fe
2 1 1
Direct
0.5000 0.5000 0.2915 Ta
0.0000 0.0000 0.0645 Ta
0.5000 0.5000 0.7097 Sr
0.0000 0.0000 0.4343 Fe
```

Computed properties:
energy relative to the elements = 1.8 eV/f.u.
E_tot = -8.003 eV per atom
magnetic moment = 0.01 Bohr magnetons per cell
E above lowest polymorph = 0 meV per atom


- Which value of energy relative to the elements does entry 3 give?
  1.8 eV/f.u.


- Which formula does entry 3 have?
  SrTa2Fe


- Look up the energy relative to the elements of the third one.
  1.8 eV/f.u.


- Which formula does entry 3 have?
  SrTa2Fe